12
Lattice="8.168 -3.026 0.000 8.168 3.026 0.000 -4.184 0.000 8.490" Properties=species:S:1:pos:R:3 comment="Pr3Nd4Y5 | Alexandria via LeMat-Bulk | GGA-PBE | optimized geometry" magmom_total_mub_per_fu=0.2 delta_e_f_ev_per_atom=0.211 e_above_lowest_polymorph_ev_per_atom=0.198 pbc="T T T"
Pr 0.000 0.000 0.000
Pr 1.524 0.000 6.513
Pr 10.628 0.000 1.977
Nd 4.229 0.000 1.002
Nd 4.475 0.000 4.703
Nd 7.677 0.000 3.788
Nd 7.923 0.000 7.488
Y -1.750 0.000 5.935
Y 1.176 0.000 3.284
Y 8.168 0.000 0.000
Y 10.976 0.000 5.206
Y 13.902 0.000 2.555

***

26
Lattice="11.911 0.000 0.000 0.000 20.839 0.000 0.000 0.000 3.690" Properties=species:S:1:pos:R:3 comment="Pr6Nd2Y5 | Alexandria via LeMat-Bulk | GGA-PBE | optimized geometry" magmom_total_mub_per_fu=0.0 delta_e_f_ev_per_atom=0.098 pbc="T T T"
Pr 0.740 1.592 0.000
Pr 0.939 7.593 0.000
Pr 2.100 13.106 1.845
Pr 3.855 2.687 1.845
Pr 5.017 18.013 0.000
Pr 5.216 12.011 0.000
Pr 6.695 8.827 0.000
Pr 6.894 2.826 0.000
Pr 8.056 18.152 1.845
Pr 9.810 7.733 1.845
Pr 10.972 13.246 0.000
Pr 11.171 19.247 0.000
Nd 2.014 16.351 0.000
Nd 3.941 5.932 0.000
Nd 7.970 14.907 0.000
Nd 9.897 4.488 0.000
Y 0.000 10.419 1.845
Y 1.087 4.631 1.845
Y 2.366 19.632 1.845
Y 3.590 9.212 1.845
Y 4.868 15.050 1.845
Y 5.955 0.000 1.845
Y 7.043 5.788 1.845
Y 8.321 11.627 1.845
Y 9.545 1.207 1.845
Y 10.824 16.208 1.845

***

20
Lattice="7.727 4.461 3.407 -7.727 4.461 3.407 0.000 -8.923 3.407" Properties=species:S:1:pos:R:3 comment="Pr12NdY7 | Alexandria via LeMat-Bulk | GGA-PBE | optimized geometry" magmom_total_mub_per_fu=0.0 delta_e_f_ev_per_atom=0.145 e_above_lowest_polymorph_ev_per_atom=0.000 pbc="T T T"
Pr -1.880 -2.070 2.591
Pr -3.497 0.589 4.344
Pr -0.853 2.663 2.591
Pr -2.258 -2.734 5.878
Pr 1.238 -3.323 4.344
Pr 2.733 -0.593 2.591
Pr -2.733 0.593 7.631
Pr -1.238 3.323 5.878
Pr 2.258 2.734 4.344
Pr 0.853 -2.663 7.631
Pr 3.497 -0.589 5.878
Pr 1.880 2.070 7.631
Nd 0.000 0.000 0.000
Y -6.845 1.168 4.157
Y -4.434 -5.344 6.066
Y 2.411 -6.512 4.157
Y 0.000 0.000 5.111
Y -2.411 6.512 6.066
Y 4.434 5.344 4.157
Y 6.845 -1.168 6.066

***

11
Lattice="7.011 0.000 0.000 0.000 5.596 0.000 -3.484 0.000 9.570" Properties=species:S:1:pos:R:3 comment="PrNd3Y7 | Alexandria via LeMat-Bulk | GGA-PBE | optimized geometry" magmom_total_mub_per_fu=0.0 delta_e_f_ev_per_atom=0.138 e_above_lowest_polymorph_ev_per_atom=0.000 pbc="T T T"
Pr 0.000 0.000 0.000
Nd 0.245 2.798 4.782
Nd 3.505 0.000 0.000
Nd 3.282 2.798 4.788
Y -1.742 0.000 4.785
Y -1.735 2.798 7.530
Y 1.763 2.798 1.315
Y 1.766 0.000 3.157
Y 1.761 0.000 6.413
Y 1.764 2.798 8.256
Y 5.263 2.798 2.040

***

20
Lattice="5.543 -7.581 0.000 5.543 7.581 0.000 -5.499 0.000 8.365" Properties=species:S:1:pos:R:3 comment="Pr2Nd5Y3 | Alexandria via LeMat-Bulk | GGA-PBE | optimized geometry" magmom_total_mub_per_fu=0.0 delta_e_f_ev_per_atom=0.179 e_above_lowest_polymorph_ev_per_atom=0.000 pbc="T T T"
Pr 1.366 1.880 0.490
Pr -1.383 -1.880 4.673
Pr 6.971 1.880 3.692
Pr 4.221 -1.880 7.875
Nd -1.299 1.849 6.392
Nd 1.419 4.159 6.274
Nd 4.168 3.569 2.091
Nd 1.450 -1.849 2.209
Nd 4.168 0.457 2.091
Nd 1.419 -0.457 6.274
Nd 4.137 1.849 6.157
Nd 1.419 -3.569 6.274
Nd 4.168 -4.159 2.091
Nd 6.886 -1.849 1.974
Y 1.419 7.316 6.274
Y 1.347 1.877 3.770
Y -1.402 -1.877 7.953
Y 6.989 1.877 0.413
Y 4.240 -1.877 4.595
Y 4.168 -7.316 2.091

***

15
Lattice="-5.806 5.806 4.012 5.806 -5.806 4.012 5.806 5.806 -4.012" Properties=species:S:1:pos:R:3 comment="Pr10NdY4 | Alexandria via LeMat-Bulk | GGA-PBE | optimized geometry" magmom_total_mub_per_fu=0.0 delta_e_f_ev_per_atom=0.222 pbc="T T T"
Pr 5.806 -3.312 2.324
Pr 2.494 0.000 1.688
Pr 9.119 0.000 1.688
Pr 5.806 0.000 2.006
Pr 0.000 2.494 1.688
Pr 5.806 3.312 2.324
Pr 0.000 5.806 2.006
Pr -3.312 5.806 2.324
Pr 3.312 5.806 2.324
Pr 0.000 9.119 1.688
Nd 0.000 0.000 4.012
Y 3.128 3.128 0.000
Y 2.678 -2.678 4.012
Y -2.678 2.678 4.012
Y 2.678 2.678 4.012